Record 1
Material: FeCu5Si2
Method: DFT, PBE
State: relaxed

a b c (Å): 3.9542 3.9542 6.0415
angles (deg): 90.00 90.00 90.00
Last column: nearest neighbours and their distance in Å.
Sites, in units of the cell vectors:
Fe  0.0000  0.0000  0.0000  8 Cu 2.50, 4 Si 2.80
Cu  0.0000  0.5000  0.2546  2 Cu 2.47, 4 Si 2.47-2.50, 2 Fe 2.50
Cu  0.0000  0.5000  0.7454  2 Cu 2.47, 4 Si 2.47-2.50, 2 Fe 2.50
Cu  0.5000  0.0000  0.2546  2 Cu 2.47, 4 Si 2.47-2.50, 2 Fe 2.50
Cu  0.5000  0.0000  0.7454  2 Cu 2.47, 4 Si 2.47-2.50, 2 Fe 2.50
Cu  0.5000  0.5000  0.5000  8 Cu 2.47
Si  0.0000  0.0000  0.5000  8 Cu 2.47
Si  0.5000  0.5000  0.0000  8 Cu 2.50, 4 Fe 2.80

As for the magnetization: 2.695 Bohr magnetons per cell. Its crystal system is tetragonal. The uncorrected energy is -4.68 eV/atom. The space-group type is P4/mmm, No. 123.

***

Record 2
Material: DyHoCo4
Method: DFT, PBE
State: relaxed

a b c (Å): 5.0365 5.0365 5.0365
angles (deg): 60.00 60.00 60.00
Last column: nearest neighbours and their distance in Å.
Sites, in units of the cell vectors:
Dy  0.0000  0.0000  0.0000  12 Co 2.95, 4 Ho 3.08
Ho  0.7500  0.7500  0.7500  12 Co 2.95, 4 Dy 3.08
Co  0.3751  0.3751  0.3751  6 Co 2.52
Co  0.3751  0.3751  0.8748  6 Co 2.52
Co  0.3751  0.8748  0.3751  6 Co 2.52
Co  0.8748  0.3751  0.3751  6 Co 2.52

As for the magnetization: 3.708 Bohr magnetons per cell. As for the formation energy: -1.27 eV/f.u. Its crystal system is cubic. The space-group type is F-43m, No. 216.